[1]
Entry from Alexandria: a geometry-optimized NiRh2Cl structure (PBE).

Cell: 8.1415 8.1415 8.1415 Å, 20.31 20.31 20.31°
Closest atoms and distances in Å follow each position.
Positions (direct):
Cl1 0.2500 0.2500 0.2500  6 Rh 2.63, 6 Cl 2.87
Ni1 0.7500 0.7500 0.7500  6 Rh 2.56
Rh1 0.0020 0.0020 0.0020  3 Ni 2.56, 3 Cl 2.63
Rh2 0.4980 0.4980 0.4980  3 Ni 2.56, 3 Cl 2.63

Summary:
crystal system = trigonal
formation energy without anion corrections = 344 meV/atom

---

[2]
Entry from Alexandria: a geometry-optimized HfTlSe3 structure (PBE).

Cell: 5.2367 5.2367 5.2367 Å, 90.00 90.00 90.00°
Closest atoms and distances in Å follow each position.
Positions (direct):
Tl1 0.5000 0.5000 0.5000  12 Se 3.70
Hf1 0.0000 0.0000 0.0000  6 Se 2.62
Se1 0.0000 0.5000 0.0000  2 Hf 2.62
Se2 0.0000 0.0000 0.5000  2 Hf 2.62
Se3 0.5000 0.0000 0.0000  2 Hf 2.62

Summary:
crystal system = cubic
formation energy without anion corrections = -757 meV/atom

---

[3]
Entry from Alexandria: a geometry-optimized CaScGa4 structure (PBE).

Cell: 4.2819 4.2819 7.7080 Å, 90.00 90.00 120.00°
Closest atoms and distances in Å follow each position.
Positions (direct):
Ca1 0.0000 0.0000 0.5000  12 Ga 3.27
Sc1 0.0000 0.0000 0.0000  12 Ga 3.01
Ga1 0.3333 0.6667 0.2233  3 Ga 2.47
Ga2 0.3333 0.6667 0.7767  3 Ga 2.47
Ga3 0.6667 0.3333 0.2233  3 Ga 2.47
Ga4 0.6667 0.3333 0.7767  3 Ga 2.47

Summary:
energy of formation = -0.50 eV/atom
crystal system = hexagonal

---

[4]
Entry from Alexandria: a geometry-optimized Li5Ca12Cd3 structure (PBE).

Cell: 15.9254 15.9254 15.9254 Å, 109.47 109.47 109.47°
Closest atoms and distances in Å follow each position.
Positions (direct):
Cd1 0.7500 0.3750 0.1250  8 Ca 3.26-3.54
Cd2 0.8750 0.7500 0.1250  8 Ca 3.26-3.54
Cd3 0.3750 0.7500 0.6250  8 Ca 3.26-3.54
Cd4 0.2500 0.1250 0.3750  8 Ca 3.26-3.54
Cd5 0.8750 0.1250 0.2500  8 Ca 3.26-3.54
Cd6 0.3750 0.6250 0.2500  8 Ca 3.26-3.54
Cd7 0.6250 0.3750 0.7500  8 Ca 3.26-3.54
Cd8 0.1250 0.8750 0.7500  8 Ca 3.26-3.54
Cd9 0.7500 0.8750 0.6250  8 Ca 3.26-3.54
Cd10 0.6250 0.2500 0.3750  8 Ca 3.26-3.54
Cd11 0.1250 0.2500 0.8750  8 Ca 3.26-3.54
Cd12 0.2500 0.6250 0.8750  8 Ca 3.26-3.54
Li1 0.1250 0.3750 0.2500  4 Ca 3.01
Li2 0.0000 0.5000 0.0000  6 Ca 3.09
Li3 0.0000 0.0000 0.0000  6 Ca 3.09
Li4 0.3750 0.2500 0.1250  4 Ca 3.01
Li5 0.5000 0.0000 0.5000  6 Ca 3.09
Li6 0.5000 0.5000 0.0000  6 Ca 3.09
Li7 0.1250 0.7500 0.3750  4 Ca 3.01
Li8 0.7500 0.1250 0.8750  4 Ca 3.01
Li9 0.7500 0.6250 0.3750  4 Ca 3.01
Li10 0.3750 0.1250 0.7500  4 Ca 3.01
Li11 0.6250 0.8750 0.2500  4 Ca 3.01
Li12 0.5000 0.5000 0.5000  6 Ca 3.09
Li13 0.5000 0.0000 0.0000  6 Ca 3.09
Li14 0.0000 0.0000 0.5000  6 Ca 3.09
Li15 0.2500 0.3750 0.6250  4 Ca 3.01
Li16 0.2500 0.8750 0.1250  4 Ca 3.01
Li17 0.0000 0.5000 0.5000  6 Ca 3.09
Li18 0.8750 0.2500 0.6250  4 Ca 3.01
Li19 0.6250 0.7500 0.8750  4 Ca 3.01
Li20 0.8750 0.6250 0.7500  4 Ca 3.01
Ca1 0.7243 0.1285 0.0548  2 Li 3.01-3.09, 1 Cd 3.26
Ca2 0.3305 0.5548 0.4263  2 Li 3.01-3.09, 1 Cd 3.26
Ca3 0.9452 0.3715 0.2757  2 Li 3.01-3.09, 1 Cd 3.26
Ca4 0.5548 0.2243 0.1285  2 Li 3.01-3.09, 1 Cd 3.26
Ca5 0.5958 0.7243 0.6695  2 Li 3.01-3.09, 1 Cd 3.26
Ca6 0.9452 0.5737 0.1695  2 Li 3.01-3.09, 1 Cd 3.26
Ca7 0.3305 0.7757 0.4042  2 Li 3.01-3.09, 1 Cd 3.26
Ca8 0.0737 0.9042 0.1285  2 Li 3.01-3.09, 1 Cd 3.26
Ca9 0.5737 0.9452 0.6695  2 Li 3.01-3.09, 1 Cd 3.26
Ca10 0.7243 0.5958 0.1695  2 Li 3.01-3.09, 1 Cd 3.26
Ca11 0.7757 0.4452 0.3715  2 Li 3.01-3.09, 1 Cd 3.26
Ca12 0.8305 0.9263 0.0548  2 Li 3.01-3.09, 1 Cd 3.26
Ca13 0.1285 0.7243 0.5548  2 Li 3.01-3.09, 1 Cd 3.26
Ca14 0.3715 0.4263 0.0958  2 Li 3.01-3.09, 1 Cd 3.26
Ca15 0.0958 0.9263 0.3715  2 Li 3.01-3.09, 1 Cd 3.26
Ca16 0.4042 0.1285 0.5737  2 Li 3.01-3.09, 1 Cd 3.26
Ca17 0.0958 0.1695 0.2243  2 Li 3.01-3.09, 1 Cd 3.26
Ca18 0.4452 0.6695 0.0737  2 Li 3.01-3.09, 1 Cd 3.26
Ca19 0.8305 0.9042 0.2757  2 Li 3.01-3.09, 1 Cd 3.26
Ca20 0.1285 0.4042 0.0737  2 Li 3.01-3.09, 1 Cd 3.26
Ca21 0.3715 0.9452 0.7757  2 Li 3.01-3.09, 1 Cd 3.26
Ca22 0.5737 0.6285 0.4042  2 Li 3.01-3.09, 1 Cd 3.26
Ca23 0.9263 0.8305 0.5548  2 Li 3.01-3.09, 1 Cd 3.26
Ca24 0.7757 0.3305 0.9042  2 Li 3.01-3.09, 1 Cd 3.26
Ca25 0.4263 0.3715 0.5958  2 Li 3.01-3.09, 1 Cd 3.26
Ca26 0.0737 0.1695 0.4452  2 Li 3.01-3.09, 1 Cd 3.26
Ca27 0.2243 0.6695 0.0958  2 Li 3.01-3.09, 1 Cd 3.26
Ca28 0.1695 0.0958 0.7243  2 Li 3.01-3.09, 1 Cd 3.26
Ca29 0.6285 0.0548 0.2243  2 Li 3.01-3.09, 1 Cd 3.26
Ca30 0.8715 0.5958 0.9263  2 Li 3.01-3.09, 1 Cd 3.26
Ca31 0.5548 0.3305 0.9263  2 Li 3.01-3.09, 1 Cd 3.26
Ca32 0.5958 0.8715 0.4263  2 Li 3.01-3.09, 1 Cd 3.26
Ca33 0.9042 0.8305 0.7757  2 Li 3.01-3.09, 1 Cd 3.26
Ca34 0.9042 0.0737 0.6285  2 Li 3.01-3.09, 1 Cd 3.26
Ca35 0.8715 0.2757 0.4452  2 Li 3.01-3.09, 1 Cd 3.26
Ca36 0.1695 0.0737 0.9452  2 Li 3.01-3.09, 1 Cd 3.26
Ca37 0.6285 0.5737 0.9042  2 Li 3.01-3.09, 1 Cd 3.26
Ca38 0.4263 0.0548 0.3305  2 Li 3.01-3.09, 1 Cd 3.26
Ca39 0.2757 0.4042 0.8305  2 Li 3.01-3.09, 1 Cd 3.26
Ca40 0.2243 0.5548 0.6285  2 Li 3.01-3.09, 1 Cd 3.26
Ca41 0.9263 0.0958 0.8715  2 Li 3.01-3.09, 1 Cd 3.26
Ca42 0.6695 0.2243 0.5958  2 Li 3.01-3.09, 1 Cd 3.26
Ca43 0.4452 0.7757 0.8715  2 Li 3.01-3.09, 1 Cd 3.26
Ca44 0.0548 0.4263 0.8305  2 Li 3.01-3.09, 1 Cd 3.26
Ca45 0.4042 0.2757 0.3305  2 Li 3.01-3.09, 1 Cd 3.26
Ca46 0.0548 0.6285 0.7243  2 Li 3.01-3.09, 1 Cd 3.26
Ca47 0.6695 0.4452 0.5737  2 Li 3.01-3.09, 1 Cd 3.26
Ca48 0.2757 0.8715 0.9452  2 Li 3.01-3.09, 1 Cd 3.26

Summary:
energy of formation = 0.26 eV/atom
crystal system = cubic

---

[5]
Entry from Alexandria: a geometry-optimized YSc2Re structure (PBE).

Cell: 4.5781 3.1626 6.1502 Å, 76.25 90.00 90.00°
Closest atoms and distances in Å follow each position.
Positions (direct):
Re1 0.5000 0.7500 0.7500  4 Sc 2.76
Sc1 0.0000 0.9261 0.9635  2 Re 2.76, 2 Sc 2.92-3.09
Sc2 0.0000 0.5739 0.5365  2 Re 2.76, 2 Sc 2.92-3.09
Y1 0.5000 0.2500 0.2500  2 Re 3.11, 2 Y 3.16, 8 Sc 3.20-3.34

Summary:
energy of formation = 0.13 eV/atom
crystal system = monoclinic

---

[6]
Entry from Alexandria: a geometry-optimized Pr6CdOs2Br3 structure (PBE).

Cell: 7.3809 7.3809 8.3154 Å, 98.45 98.45 120.04°
Closest atoms and distances in Å follow each position.
Positions (direct):
Pr1 0.9326 0.5621 0.7966  2 Os 2.84, 1 Cd 3.18
Pr2 0.6968 0.6968 0.2032  2 Os 2.84, 1 Cd 3.17
Pr3 0.0674 0.4379 0.2034  2 Os 2.84, 1 Cd 3.18
Pr4 0.5621 0.9326 0.7966  2 Os 2.84, 1 Cd 3.18
Pr5 0.3032 0.3032 0.7968  2 Os 2.84, 1 Cd 3.17
Pr6 0.4379 0.0674 0.2034  2 Os 2.84, 1 Cd 3.18
Cd1 0.0000 0.0000 0.0000  6 Pr 3.17-3.18
Os1 0.3335 0.6665 0.0000  6 Pr 2.84
Os2 0.6665 0.3335 0.0000  6 Pr 2.84
Br1 0.1675 0.8325 0.5000  6 Pr 3.21-3.53
Br2 0.8325 0.1675 0.5000  6 Pr 3.21-3.53
Br3 0.5000 0.5000 0.5000  6 Pr 3.21-3.52

Summary:
crystal system = monoclinic
formation energy without anion corrections = -709 meV/atom

---

What is the formula in the first record?
NiRh2Cl